No. 1
Entry from the Alexandria database: a geometry-optimized ZnGaAsSe2 structure (PBE).

Unit cell a=5.104 b=5.104 c=4.746 alpha=90.00 beta=90.00 gamma=90.00
Sites, in units of the cell vectors:
Zn 0.000 0.000 0.000
As 0.000 0.000 0.500
Ga 0.500 0.500 0.500
Se 0.000 0.500 0.000
Se 0.500 0.000 0.000

Properties
density = 4.943 g cm⁻³
energy above the most stable polymorph in this dataset = 0.00 kJ per mole of atoms
E_form (uncorrected) = 36.9 kJ/mol of atoms

=====

No. 2
Entry from the Alexandria database: a geometry-optimized ZnGa2AsSe2 structure (PBE).

Unit cell a=7.049 b=7.095 c=7.018 alpha=120.36 beta=90.00 gamma=90.00
Sites, in units of the cell vectors:
Zn 0.319 0.836 0.000
Zn 0.819 0.164 0.000
Ga 0.810 0.837 0.315
Ga 0.810 0.522 0.685
Ga 0.310 0.478 0.315
Ga 0.310 0.163 0.685
As 0.669 0.851 0.000
As 0.169 0.149 0.000
Se 0.183 0.828 0.335
Se 0.183 0.493 0.665
Se 0.683 0.172 0.665
Se 0.683 0.507 0.335

Properties
density = 4.800 g cm⁻³
E_form (uncorrected) = -33.6 kJ/mol of atoms

=====

No. 3
Entry from the Alexandria database: a geometry-optimized ZrGaAsSe2 structure (PBE).

Unit cell a=4.894 b=4.894 c=4.817 alpha=90.00 beta=90.00 gamma=90.00
Sites, in units of the cell vectors:
As 0.000 0.000 0.500
Ga 0.000 0.000 0.000
Se 0.000 0.500 0.000
Se 0.500 0.000 0.000
Zr 0.500 0.500 0.500

Properties
density = 5.668 g cm⁻³
energy above the most stable polymorph in this dataset = 48.49 kJ per mole of atoms
E_form (uncorrected) = 21.9 kJ/mol of atoms

=====

No. 4
Entry from the Alexandria database: a geometry-optimized ZrGaAs2Se structure (PBE).

Unit cell a=4.763 b=4.763 c=5.034 alpha=90.00 beta=90.00 gamma=90.00
Sites, in units of the cell vectors:
As 0.000 0.500 0.000
As 0.500 0.000 0.000
Ga 0.000 0.000 0.000
Se 0.000 0.000 0.500
Zr 0.500 0.500 0.500

Properties
density = 5.668 g cm⁻³
energy above the most stable polymorph in this dataset = 39.19 kJ per mole of atoms
E_form (uncorrected) = 36.6 kJ/mol of atoms

=====

No. 5
Entry from the Alexandria database: a geometry-optimized ZrGaAsSe2 structure (PBE).

Unit cell a=5.239 b=5.239 c=5.267 alpha=90.00 beta=90.00 gamma=90.00
Sites, in units of the cell vectors:
As 0.000 0.000 0.500
Ga 0.500 0.500 0.500
Se 0.000 0.500 0.000
Se 0.500 0.000 0.000
Zr 0.000 0.000 0.000

Properties
density = 4.523 g cm⁻³
energy above the most stable polymorph in this dataset = 0.00 kJ per mole of atoms
E_form (uncorrected) = -26.6 kJ/mol of atoms

=====

No. 6
Entry from the Alexandria database: a geometry-optimized ZrGaAs2Se structure (PBE).

Unit cell a=5.234 b=5.234 c=5.239 alpha=90.00 beta=90.00 gamma=90.00
Sites, in units of the cell vectors:
As 0.000 0.500 0.000
As 0.500 0.000 0.000
Ga 0.500 0.500 0.500
Se 0.000 0.000 0.500
Zr 0.000 0.000 0.000

Properties
density = 4.510 g cm⁻³
energy above the most stable polymorph in this dataset = 0.00 kJ per mole of atoms
E_form (uncorrected) = -2.6 kJ/mol of atoms

=====

No. 7
Entry from the Alexandria database: a geometry-optimized ZrGaAsSe2 structure (PBE).

Unit cell a=5.162 b=4.645 c=5.162 alpha=90.00 beta=90.00 gamma=90.00
Sites, in units of the cell vectors:
As 0.000 0.000 0.000
Ga 0.000 0.500 0.000
Se 0.000 0.000 0.500
Se 0.500 0.000 0.000
Zr 0.500 0.500 0.500

Properties
density = 5.283 g cm⁻³
energy above the most stable polymorph in this dataset = 62.41 kJ per mole of atoms
E_form (uncorrected) = 35.8 kJ/mol of atoms

=====

No. 8
Entry from the Alexandria database: a geometry-optimized GaSi2As structure (PBE).

Unit cell a=5.624 b=5.624 c=6.870 alpha=65.84 beta=65.84 gamma=90.00
Sites, in units of the cell vectors:
As 0.000 0.000 0.000
As 0.750 0.250 0.500
Si 0.622 0.125 0.250
Si 0.128 0.625 0.250
Si 0.375 0.378 0.750
Si 0.875 0.872 0.750
Ga 0.500 0.500 0.000
Ga 0.250 0.750 0.500

Properties
density = 3.763 g cm⁻³
energy above the most stable polymorph in this dataset = 0.00 kJ per mole of atoms
E_form (uncorrected) = 2.9 kJ/mol of atoms